An optimized crystal structure of Ta2CrOs, computed with PBEsol.

Cell: 3.099 3.099 6.248 Å, 90.00 90.00 90.00°
Element x y z (fractional)
Ta (0.000, 0.000, 0.239)
Ta (0.000, 0.000, 0.761)
Cr (0.500, 0.500, 0.000)
Os (0.500, 0.500, 0.500)

The formation energy from the elements comes out at -26.1 kJ per mole of atoms. The crystal system is tetragonal.

---

An optimized crystal structure of BaGe5, computed with PBEsol.

Cell: 8.324 8.324 8.324 Å, 146.07 120.46 70.33°
Element x y z (fractional)
Ba (0.283, 0.033, 0.250)
Ba (0.717, 0.967, 0.750)
Ge (0.093, 0.620, 0.473)
Ge (0.097, 0.192, 0.906)
Ge (0.214, 0.808, 0.406)
Ge (0.353, 0.380, 0.973)
Ge (0.461, 0.711, 0.750)
Ge (0.539, 0.289, 0.250)
Ge (0.647, 0.620, 0.027)
Ge (0.786, 0.192, 0.594)
Ge (0.903, 0.808, 0.094)
Ge (0.907, 0.380, 0.527)

The formation energy from the elements comes out at -23.2 kJ per mole of atoms. The crystal system is orthorhombic.

---

Q: What is the formation energy from the elements in the second record?
A: -23.2 kJ per mole of atoms

---

What did the second record say?
An optimized crystal structure of BaGe5, computed with PBEsol.

Cell: 8.324 8.324 8.324 Å, 146.07 120.46 70.33°
Element x y z (fractional)
Ba (0.283, 0.033, 0.250)
Ba (0.717, 0.967, 0.750)
Ge (0.093, 0.620, 0.473)
Ge (0.097, 0.192, 0.906)
Ge (0.214, 0.808, 0.406)
Ge (0.353, 0.380, 0.973)
Ge (0.461, 0.711, 0.750)
Ge (0.539, 0.289, 0.250)
Ge (0.647, 0.620, 0.027)
Ge (0.786, 0.192, 0.594)
Ge (0.903, 0.808, 0.094)
Ge (0.907, 0.380, 0.527)

The formation energy from the elements comes out at -23.2 kJ per mole of atoms. The crystal system is orthorhombic.